one | Compound: Sb2TeP
Source: Alexandria via LeMat-Bulk
Functional: PBE
Structure: optimized geometry

```
data_Sb2TeP
_cell_length_a 3.6473
_cell_length_b 5.4123
_cell_length_c 10.0520
_cell_angle_alpha 90.00
_cell_angle_beta 90.00
_cell_angle_gamma 90.00
_symmetry_space_group_name_H-M 'C m m 2'
_symmetry_Int_Tables_number 35
loop_
_symmetry_equiv_pos_as_xyz
'x,y,z'
'-x,-y,z'
'-x,y,z'
'x,-y,z'
'x+1/2,y+1/2,z'
'-x+1/2,-y+1/2,z'
'-x+1/2,y+1/2,z'
'x+1/2,-y+1/2,z'
loop_
_atom_site_label
_atom_site_type_symbol
_atom_site_fract_x
_atom_site_fract_y
_atom_site_fract_z
_atom_site_occupancy
Sb1 Sb 0.0000 0.0000 0.0000 1
Sb2 Sb 0.0000 0.5000 0.2878 1
Te1 Te 0.0000 0.0000 0.5652 1
P1 P 0.0000 0.5000 0.8005 1
```

=====

two | Compound: Sb2TeP
Source: Alexandria via LeMat-Bulk
Functional: PBE
Structure: optimized geometry

```
data_Sb2TeP
_cell_length_a 7.3127
_cell_length_b 7.3127
_cell_length_c 7.3127
_cell_angle_alpha 90.00
_cell_angle_beta 90.00
_cell_angle_gamma 90.00
_symmetry_space_group_name_H-M 'F -4 3 m'
_symmetry_Int_Tables_number 216
_symmetry_space_group_name_Hall 'F -4 2 3'
loop_
_atom_site_label
_atom_site_type_symbol
_atom_site_fract_x
_atom_site_fract_y
_atom_site_fract_z
_atom_site_occupancy
Sb1 Sb 0.0000 0.0000 0.0000 1
Sb2 Sb 0.2500 0.2500 0.2500 1
Te1 Te 0.2500 0.2500 0.7500 1
P1 P 0.0000 0.0000 0.5000 1
```

=====

three | Compound: Sb2TeP
Source: Alexandria via LeMat-Bulk
Functional: PBE
Structure: optimized geometry

```
data_Sb2TeP
_cell_length_a 3.5008
_cell_length_b 3.5008
_cell_length_c 8.1705
_cell_angle_alpha 90.00
_cell_angle_beta 90.00
_cell_angle_gamma 90.00
_symmetry_space_group_name_H-M 'P 4/m m m'
_symmetry_Int_Tables_number 123
_symmetry_space_group_name_Hall '-P 4 2'
loop_
_atom_site_label
_atom_site_type_symbol
_atom_site_fract_x
_atom_site_fract_y
_atom_site_fract_z
_atom_site_occupancy
Sb1 Sb 0.0000 0.0000 0.1902 1
Te1 Te 0.5000 0.5000 0.5000 1
P1 P 0.5000 0.5000 0.0000 1
```

=====

four | Compound: Sb2TeP
Source: Alexandria via LeMat-Bulk
Functional: PBE
Structure: optimized geometry

```
data_Sb2TeP
_cell_length_a 4.1293
_cell_length_b 4.1293
_cell_length_c 21.7717
_cell_angle_alpha 90.00
_cell_angle_beta 90.00
_cell_angle_gamma 120.00
_symmetry_space_group_name_H-M 'R 3 m'
_symmetry_Int_Tables_number 160
_symmetry_space_group_name_Hall 'R 3 -2"'
loop_
_atom_site_label
_atom_site_type_symbol
_atom_site_fract_x
_atom_site_fract_y
_atom_site_fract_z
_atom_site_occupancy
Sb1 Sb 0.0000 0.0000 0.0000 1
Sb2 Sb 0.0000 0.0000 0.2375 1
Te1 Te 0.0000 0.0000 0.4830 1
P1 P 0.0000 0.0000 0.7319 1
```

=====

four (146 meV/atom below the next structure)

=====

one | Compound: SbTeP2
Source: Alexandria via LeMat-Bulk
Functional: PBE
Structure: optimized geometry

```
data_SbTeP2
_cell_length_a 3.7754
_cell_length_b 7.5890
_cell_length_c 7.5344
_cell_angle_alpha 90.00
_cell_angle_beta 90.00
_cell_angle_gamma 90.00
_symmetry_space_group_name_H-M 'C m m m'
_symmetry_Int_Tables_number 65
_symmetry_space_group_name_Hall '-C 2 2'
loop_
_atom_site_label
_atom_site_type_symbol
_atom_site_fract_x
_atom_site_fract_y
_atom_site_fract_z
_atom_site_occupancy
Sb1 Sb 0.0000 0.0000 0.0000 1
Te1 Te 0.0000 0.0000 0.5000 1
P1 P 0.0000 0.5000 0.2471 1
```

=====

two | Compound: SbTeP2
Source: Alexandria via LeMat-Bulk
Functional: PBE
Structure: optimized geometry

```
data_SbTeP2
_cell_length_a 3.5454
_cell_length_b 6.7608
_cell_length_c 8.8227
_cell_angle_alpha 90.00
_cell_angle_beta 90.00
_cell_angle_gamma 90.00
_symmetry_space_group_name_H-M 'C m m 2'
_symmetry_Int_Tables_number 35
loop_
_symmetry_equiv_pos_as_xyz
'x,y,z'
'-x,-y,z'
'-x,y,z'
'x,-y,z'
'x+1/2,y+1/2,z'
'-x+1/2,-y+1/2,z'
'-x+1/2,y+1/2,z'
'x+1/2,-y+1/2,z'
loop_
_atom_site_label
_atom_site_type_symbol
_atom_site_fract_x
_atom_site_fract_y
_atom_site_fract_z
_atom_site_occupancy
Sb1 Sb 0.0000 0.0000 0.0000 1
Te1 Te 0.0000 0.5000 0.3975 1
P1 P 0.0000 0.0000 0.6046 1
P2 P 0.0000 0.5000 0.7916 1
```

=====

three | Compound: SbTeP2
Source: Alexandria via LeMat-Bulk
Functional: PBE
Structure: optimized geometry

```
data_SbTeP2
_cell_length_a 3.3708
_cell_length_b 3.3708
_cell_length_c 8.5688
_cell_angle_alpha 90.00
_cell_angle_beta 90.00
_cell_angle_gamma 90.00
_symmetry_space_group_name_H-M 'P 4 m m'
_symmetry_Int_Tables_number 99
loop_
_symmetry_equiv_pos_as_xyz
'x,y,z'
'-y,x,z'
'-x,-y,z'
'y,-x,z'
'-x,y,z'
'y,x,z'
'x,-y,z'
'-y,-x,z'
loop_
_atom_site_label
_atom_site_type_symbol
_atom_site_fract_x
_atom_site_fract_y
_atom_site_fract_z
_atom_site_occupancy
Sb1 Sb 0.0000 0.0000 0.0000 1
Te1 Te 0.5000 0.5000 0.3681 1
P1 P 0.0000 0.0000 0.7027 1
P2 P 0.5000 0.5000 0.6610 1
```

=====

four | Compound: SbTeP2
Source: Alexandria via LeMat-Bulk
Functional: PBE
Structure: optimized geometry

```
data_SbTeP2
_cell_length_a 3.8211
_cell_length_b 3.9020
_cell_length_c 6.2535
_cell_angle_alpha 90.00
_cell_angle_beta 90.00
_cell_angle_gamma 90.00
_symmetry_space_group_name_H-M 'P m m m'
_symmetry_Int_Tables_number 47
loop_
_symmetry_equiv_pos_as_xyz
'x,y,z'
'-x,-y,-z'
'-x,-y,z'
'x,y,-z'
'x,-y,-z'
'-x,y,z'
'-x,y,-z'
'x,-y,z'
loop_
_atom_site_label
_atom_site_type_symbol
_atom_site_fract_x
_atom_site_fract_y
_atom_site_fract_z
_atom_site_occupancy
Sb1 Sb 0.0000 0.0000 0.0000 1
Te1 Te 0.0000 0.5000 0.5000 1
P1 P 0.5000 0.0000 0.5000 1
P2 P 0.5000 0.5000 0.0000 1
```

=====

three (331 meV/atom below the next structure)

=====

one | Compound: SbTeP
Source: Alexandria via LeMat-Bulk
Functional: PBE
Structure: optimized geometry

```
data_SbTeP
_cell_length_a 3.6177
_cell_length_b 3.6177
_cell_length_c 11.2267
_cell_angle_alpha 90.00
_cell_angle_beta 90.00
_cell_angle_gamma 90.00
_symmetry_space_group_name_H-M 'I 4 m m'
_symmetry_Int_Tables_number 107
_symmetry_space_group_name_Hall 'I 4 -2'
loop_
_atom_site_label
_atom_site_type_symbol
_atom_site_fract_x
_atom_site_fract_y
_atom_site_fract_z
_atom_site_occupancy
Sb1 Sb 0.0000 0.0000 0.0000 1
Te1 Te 0.0000 0.0000 0.2854 1
P1 P 0.0000 0.0000 0.5950 1
```

=====

two | Compound: SbTeP
Source: Alexandria via LeMat-Bulk
Functional: PBE
Structure: optimized geometry

```
data_SbTeP
_cell_length_a 7.2322
_cell_length_b 7.2322
_cell_length_c 19.0609
_cell_angle_alpha 90.00
_cell_angle_beta 90.00
_cell_angle_gamma 120.00
_symmetry_space_group_name_H-M 'R 3'
_symmetry_Int_Tables_number 146
_symmetry_space_group_name_Hall 'R 3'
loop_
_atom_site_label
_atom_site_type_symbol
_atom_site_fract_x
_atom_site_fract_y
_atom_site_fract_z
_atom_site_occupancy
Sb1 Sb 0.0000 0.0000 0.0000 1
Sb2 Sb 0.0000 0.0000 0.2332 1
Sb3 Sb 0.0000 0.0000 0.5637 1
Te1 Te 0.0122 0.6772 0.4102 1
P1 P 0.0981 0.3353 0.3090 1
```

=====

three | Compound: SbTeP
Source: Alexandria via LeMat-Bulk
Functional: PBE
Structure: optimized geometry

```
data_SbTeP
_cell_length_a 13.0695
_cell_length_b 4.1657
_cell_length_c 6.1821
_cell_angle_alpha 90.00
_cell_angle_beta 99.56
_cell_angle_gamma 90.00
_symmetry_space_group_name_H-M 'C 1 2/m 1'
_symmetry_Int_Tables_number 12
loop_
_symmetry_equiv_pos_as_xyz
'x,y,z'
'-x,-y,-z'
'-x,y,-z'
'x,-y,z'
'x+1/2,y+1/2,z'
'-x+1/2,-y+1/2,-z'
'-x+1/2,y+1/2,-z'
'x+1/2,-y+1/2,z'
loop_
_atom_site_label
_atom_site_type_symbol
_atom_site_fract_x
_atom_site_fract_y
_atom_site_fract_z
_atom_site_occupancy
Sb1 Sb 0.1509 0.0000 0.2374 1
Te1 Te 0.1694 0.0000 0.7311 1
P1 P 0.0082 0.5000 0.1733 1
```

=====

four | Compound: SbTeP
Source: Alexandria via LeMat-Bulk
Functional: PBE
Structure: optimized geometry

```
data_SbTeP
_cell_length_a 4.1653
_cell_length_b 4.1653
_cell_length_c 9.3144
_cell_angle_alpha 90.00
_cell_angle_beta 90.00
_cell_angle_gamma 90.00
_symmetry_space_group_name_H-M 'P 4/n m m'
_symmetry_Int_Tables_number 129
loop_
_symmetry_equiv_pos_as_xyz
'x,y,z'
'-x,-y,-z'
'-y+1/2,x,z'
'y+1/2,-x,-z'
'-x+1/2,-y+1/2,z'
'x+1/2,y+1/2,-z'
'y,-x+1/2,z'
'-y,x+1/2,-z'
'x+1/2,-y,-z'
'-x+1/2,y,z'
'-y,-x,-z'
'y,x,z'
'-x,y+1/2,-z'
'x,-y+1/2,z'
'y+1/2,x+1/2,-z'
'-y+1/2,-x+1/2,z'
loop_
_atom_site_label
_atom_site_type_symbol
_atom_site_fract_x
_atom_site_fract_y
_atom_site_fract_z
_atom_site_occupancy
Sb1 Sb 0.2500 0.7500 0.0000 1
Te1 Te 0.2500 0.2500 0.3615 1
P1 P 0.2500 0.2500 0.6318 1
```

=====

three (29 meV/atom below the next structure)

=====

one | Compound: SbTeP
Source: Alexandria via LeMat-Bulk
Functional: PBE
Structure: optimized geometry

```
data_SbTeP
_cell_length_a 5.3995
_cell_length_b 5.3995
_cell_length_c 5.4883
_cell_angle_alpha 90.00
_cell_angle_beta 90.00
_cell_angle_gamma 90.00
_symmetry_space_group_name_H-M 'P 4/n m m'
_symmetry_Int_Tables_number 129
loop_
_symmetry_equiv_pos_as_xyz
'x,y,z'
'-x,-y,-z'
'-y+1/2,x,z'
'y+1/2,-x,-z'
'-x+1/2,-y+1/2,z'
'x+1/2,y+1/2,-z'
'y,-x+1/2,z'
'-y,x+1/2,-z'
'x+1/2,-y,-z'
'-x+1/2,y,z'
'-y,-x,-z'
'y,x,z'
'-x,y+1/2,-z'
'x,-y+1/2,z'
'y+1/2,x+1/2,-z'
'-y+1/2,-x+1/2,z'
loop_
_atom_site_label
_atom_site_type_symbol
_atom_site_fract_x
_atom_site_fract_y
_atom_site_fract_z
_atom_site_occupancy
Sb1 Sb 0.2500 0.7500 0.0000 1
Te1 Te 0.2500 0.2500 0.3829 1
P1 P 0.2500 0.2500 0.8418 1
```

=====

two | Compound: SbTeP
Source: Alexandria via LeMat-Bulk
Functional: PBE
Structure: optimized geometry

```
data_SbTeP
_cell_length_a 18.0491
_cell_length_b 4.1235
_cell_length_c 4.1387
_cell_angle_alpha 90.00
_cell_angle_beta 90.00
_cell_angle_gamma 90.00
_symmetry_space_group_name_H-M 'P n m a'
_symmetry_Int_Tables_number 62
loop_
_symmetry_equiv_pos_as_xyz
'x,y,z'
'-x,-y,-z'
'-x+1/2,-y,z+1/2'
'x+1/2,y,-z+1/2'
'x+1/2,-y+1/2,-z+1/2'
'-x+1/2,y+1/2,z+1/2'
'-x,y+1/2,-z'
'x,-y+1/2,z'
loop_
_atom_site_label
_atom_site_type_symbol
_atom_site_fract_x
_atom_site_fract_y
_atom_site_fract_z
_atom_site_occupancy
Sb1 Sb 0.0180 0.2500 0.2497 1
Te1 Te 0.1685 0.7500 0.7477 1
P1 P 0.1683 0.2500 0.2475 1
```

=====

three | Compound: SbTeP
Source: Alexandria via LeMat-Bulk
Functional: PBE
Structure: optimized geometry

```
data_SbTeP
_cell_length_a 6.8728
_cell_length_b 6.8728
_cell_length_c 6.8728
_cell_angle_alpha 90.00
_cell_angle_beta 90.00
_cell_angle_gamma 90.00
_symmetry_space_group_name_H-M 'P 21 3'
_symmetry_Int_Tables_number 198
_symmetry_space_group_name_Hall 'P 2ac 2ab 3'
loop_
_atom_site_label
_atom_site_type_symbol
_atom_site_fract_x
_atom_site_fract_y
_atom_site_fract_z
_atom_site_occupancy
Sb1 Sb 0.1207 0.1207 0.1207 1
Te1 Te 0.1206 0.3794 0.6206 1
P1 P 0.0199 0.9801 0.4801 1
```

=====

four | Compound: SbTeP
Source: Alexandria via LeMat-Bulk
Functional: PBE
Structure: optimized geometry

```
data_SbTeP
_cell_length_a 3.7990
_cell_length_b 5.2722
_cell_length_c 14.9505
_cell_angle_alpha 90.00
_cell_angle_beta 90.00
_cell_angle_gamma 90.00
_symmetry_space_group_name_H-M 'F m m 2'
_symmetry_Int_Tables_number 42
_symmetry_space_group_name_Hall 'F 2 -2'
loop_
_atom_site_label
_atom_site_type_symbol
_atom_site_fract_x
_atom_site_fract_y
_atom_site_fract_z
_atom_site_occupancy
Sb1 Sb 0.0000 0.0000 0.0000 1
Te1 Te 0.0000 0.0000 0.2935 1
P1 P 0.0000 0.0000 0.6242 1
```

=====

two (20 meV/atom below the next structure)

=====

one | Compound: SbTeP
Source: Alexandria via LeMat-Bulk
Functional: PBE
Structure: optimized geometry

```
data_SbTeP
_cell_length_a 4.1260
_cell_length_b 4.1260
_cell_length_c 5.2035
_cell_angle_alpha 90.00
_cell_angle_beta 90.00
_cell_angle_gamma 120.00
_symmetry_space_group_name_H-M 'P 3 m 1'
_symmetry_Int_Tables_number 156
loop_
_symmetry_equiv_pos_as_xyz
'x,y,z'
'-y,x-y,z'
'-x+y,-x,z'
'-y,-x,z'
'-x+y,y,z'
'x,x-y,z'
loop_
_atom_site_label
_atom_site_type_symbol
_atom_site_fract_x
_atom_site_fract_y
_atom_site_fract_z
_atom_site_occupancy
Sb1 Sb 0.0000 0.0000 0.0000 1
Te1 Te 0.3333 0.6667 0.3887 1
P1 P 0.6667 0.3333 0.7224 1
```

=====

two | Compound: SbTeP
Source: Alexandria via LeMat-Bulk
Functional: PBE
Structure: optimized geometry

```
data_SbTeP
_cell_length_a 6.8300
_cell_length_b 6.8300
_cell_length_c 6.8300
_cell_angle_alpha 90.00
_cell_angle_beta 90.00
_cell_angle_gamma 90.00
_symmetry_space_group_name_H-M 'F -4 3 m'
_symmetry_Int_Tables_number 216
_symmetry_space_group_name_Hall 'F -4 2 3'
loop_
_atom_site_label
_atom_site_type_symbol
_atom_site_fract_x
_atom_site_fract_y
_atom_site_fract_z
_atom_site_occupancy
Sb1 Sb 0.0000 0.0000 0.0000 1
Te1 Te 0.0000 0.0000 0.5000 1
P1 P 0.2500 0.2500 0.7500 1
```

=====

one (317 meV/atom below the next structure)